No. 1
Entry from Alexandria: an optimized crystal structure of CsSr2Ir (PBE).

Calculated values
**Symmetry**: R-3m
**Energy above the lowest structure with this stoichiometry**: 0 meV/atom
**Energy relative to the elements**: 0.082 eV per atom
**Crystal system**: trigonal

Geometry as POSCAR:
```
CsSr2Ir
1.0
-0.4967 -0.6030 4.4356
2.7515 -2.7944 2.2148
8.3399 7.9966 4.3075
Sr Cs Ir
2 1 1
Direct
0.8738 0.8738 0.3785
0.1262 0.1262 0.6215
0.0000 0.0000 0.0000
0.5000 0.5000 0.5000
```

=====

No. 2
Entry from Alexandria: an optimized crystal structure of LaGdY (PBE).

Calculated values
**Symmetry**: I4mm
**Energy above the lowest structure with this stoichiometry**: 5 meV/atom
**Energy relative to the elements**: 0.023 eV per atom
**Crystal system**: tetragonal

Geometry as POSCAR:
```
LaGdY
1.0
-2.0941 -2.9990 -0.2540
2.0970 -1.6758 2.4976
-4.4834 4.9971 4.4259
La Gd Y
1 1 1
Direct
0.6170 0.6170 0.2340
0.9485 0.9485 0.8969
0.2845 0.2845 0.5691
```

=====

No. 3
Entry from Alexandria: an optimized crystal structure of AcPrIr2 (PBE).

Calculated values
**Symmetry**: Amm2
**Energy above the lowest structure with this stoichiometry**: 0 meV/atom
**Energy relative to the elements**: -0.575 eV per atom
**Crystal system**: orthorhombic

Geometry as POSCAR:
```
AcPrIr2
1.0
4.1794 0.0000 -0.0272
0.0000 4.3052 0.0000
-2.0514 0.0000 5.6412
Ir Ac Pr
2 1 1
Direct
0.1597 0.5000 0.8582
0.0087 0.0000 0.5566
0.4380 0.5000 0.4151
0.7246 0.0000 0.9880
```

=====

No. 4
Entry from Alexandria: an optimized crystal structure of ThUN3 (PBE).

Calculated values
**Symmetry**: P2_1/m
**ΔE_f (raw)**: -1.39 eV per atom
**Crystal system**: monoclinic

Geometry as POSCAR:
```
ThUN3
1.0
-3.1237 -1.5806 -0.2302
-0.2683 -0.4833 6.9597
-2.8539 5.7132 -0.5021
Th N U
2 6 2
Direct
0.7500 0.6382 0.7582
0.2500 0.3618 0.2418
0.2500 0.9212 0.6465
0.7500 0.0788 0.3535
0.2500 0.6980 0.0202
0.2500 0.3717 0.6215
0.7500 0.3020 0.9798
0.7500 0.6283 0.3785
0.7500 0.1621 0.6821
0.2500 0.8379 0.3179
```

=====

The records above yield total magnetic moment values of 0.00 7.42 0.00 0.66 μB per formula unit, respectively.